No. 1
! K3Pu3TlS8 | Alexandria | GGA-PBE | relaxed; values from VASP
&SYSTEM
  ibrav = 0, nat = 15, ntyp = 4
/
ATOMIC_SPECIES
K 39.10 K.upf
Pu 244.00 Pu.upf
Tl 204.38 Tl.upf
S 32.06 S.upf
ATOMIC_POSITIONS crystal
K 0.0000 0.0000 0.0000
K 0.0000 0.5000 0.0000
K 0.5000 0.0000 0.0000
Pu 0.0000 0.5000 0.5000
Pu 0.5000 0.0000 0.5000
Pu 0.5000 0.5000 0.5000
Tl 0.0000 0.0000 0.5000
S 0.1732 0.6470 0.3077
S 0.1771 0.1771 0.2989
S 0.3317 0.3317 0.6877
S 0.3530 0.8268 0.6923
S 0.6470 0.1732 0.3077
S 0.6683 0.6683 0.3123
S 0.8229 0.8229 0.7011
S 0.8268 0.3530 0.6923
CELL_PARAMETERS angstrom
7.0740 -4.0591 0.0000
7.0740 4.0591 0.0000
-0.0241 0.0000 7.5928
! Formation energy without anion corrections ... -123.0 kJ/mol of atoms

---

No. 2
! K3Pu2TlS6 | Alexandria | GGA-PBE | relaxed; values from VASP
&SYSTEM
  ibrav = 0, nat = 12, ntyp = 4
/
ATOMIC_SPECIES
K 39.10 K.upf
Pu 244.00 Pu.upf
Tl 204.38 Tl.upf
S 32.06 S.upf
ATOMIC_POSITIONS crystal
K 0.0000 0.0000 0.0000
K 0.3462 0.6538 0.0000
K 0.6538 0.3462 0.0000
Pu 0.1677 0.8323 0.5000
Pu 0.8323 0.1677 0.5000
Tl 0.5000 0.5000 0.5000
S 0.0532 0.4301 0.2961
S 0.1931 0.1931 0.7014
S 0.4301 0.0532 0.2961
S 0.5699 0.9468 0.7039
S 0.8069 0.8069 0.2986
S 0.9468 0.5699 0.7039
CELL_PARAMETERS angstrom
3.6451 -6.2999 0.0000
3.6451 6.2999 0.0000
-2.4692 0.0000 7.2699
! Formation energy without anion corrections ... -124.4 kJ/mol of atoms

---

no.,uncorrected energy (hartree per atom)
1,-0.247
2,-0.228